# 1
# LaGeAu PBE relaxed
data_LaGeAu
_chemical_formula_sum 'La2 Ge2 Au2'
_cell_length_a 4.4934
_cell_length_b 4.4969
_cell_length_c 7.3635
_cell_angle_alpha 90.00
_cell_angle_beta 90.03
_cell_angle_gamma 90.00
_symmetry_space_group_name_H-M 'P 1 21/m 1'
_symmetry_Int_Tables_number 11
loop_
_symmetry_equiv_pos_as_xyz
'x,y,z'
'-x,-y,-z'
'-x,y+1/2,-z'
'x,-y+1/2,z'
loop_
_atom_site_label
_atom_site_type_symbol
_atom_site_fract_x
_atom_site_fract_y
_atom_site_fract_z
_atom_site_occupancy
La1 La 0.2498 0.2500 0.1831 1
Ge1 Ge 0.2512 0.7500 0.5001 1
Au1 Au 0.2496 0.2500 0.7501 1
# Magnetic moment = 0.000 μB/f.u.
# V = 149 Å³ per cell
# Formation enthalpy at 0 K = -599 meV/atom

=====

# 2
# Pr2DyYP4 PBE relaxed
data_Pr2DyYP4
_chemical_formula_sum 'Pr2 Dy1 Y1 P4'
_cell_length_a 7.1113
_cell_length_b 4.1109
_cell_length_c 7.1165
_cell_angle_alpha 90.00
_cell_angle_beta 109.47
_cell_angle_gamma 90.00
_symmetry_space_group_name_H-M 'P 1 2/m 1'
_symmetry_Int_Tables_number 10
loop_
_symmetry_equiv_pos_as_xyz
'x,y,z'
'-x,-y,-z'
'-x,y,-z'
'x,-y,z'
loop_
_atom_site_label
_atom_site_type_symbol
_atom_site_fract_x
_atom_site_fract_y
_atom_site_fract_z
_atom_site_occupancy
Pr1 Pr 0.0000 0.0000 0.0000 1
Pr2 Pr 0.0000 0.5000 0.5000 1
Dy1 Dy 0.5000 0.0000 0.5000 1
Y1 Y 0.5000 0.5000 0.0000 1
P1 P 0.2613 0.0000 0.7534 1
P2 P 0.2615 0.5000 0.2542 1
# Magnetic moment = 0.000 μB/f.u.
# V = 196 Å³ per cell
# Formation enthalpy at 0 K = -1560 meV/atom

=====

# 3
# YZr2Co2 PBE relaxed
data_YZr2Co2
_chemical_formula_sum 'Y2 Zr4 Co4'
_cell_length_a 4.4104
_cell_length_b 4.4104
_cell_length_c 10.1859
_cell_angle_alpha 90.00
_cell_angle_beta 90.00
_cell_angle_gamma 90.00
_symmetry_space_group_name_H-M 'I 4/m m m'
_symmetry_Int_Tables_number 139
_symmetry_space_group_name_Hall '-I 4 2'
loop_
_atom_site_label
_atom_site_type_symbol
_atom_site_fract_x
_atom_site_fract_y
_atom_site_fract_z
_atom_site_occupancy
Y1 Y 0.0000 0.0000 0.0000 1
Zr1 Zr 0.0000 0.5000 0.2500 1
Co1 Co 0.0000 0.0000 0.3894 1
# Magnetic moment = 0.000 μB/f.u.
# V = 198 Å³ per cell
# Formation enthalpy at 0 K = -215 meV/atom
# Relative energy among the computed polymorphs = 0 meV/atom

=====

# 4
# KDyP2O6 PBE relaxed
data_KDyP2O6
_chemical_formula_sum 'K4 Dy4 P8 O24'
_cell_length_a 7.5339
_cell_length_b 11.2677
_cell_length_c 8.4433
_cell_angle_alpha 90.00
_cell_angle_beta 96.33
_cell_angle_gamma 90.00
_symmetry_space_group_name_H-M 'C 1 2/c 1'
_symmetry_Int_Tables_number 15
loop_
_symmetry_equiv_pos_as_xyz
'x,y,z'
'-x,-y,-z'
'-x,y,-z+1/2'
'x,-y,z+1/2'
'x+1/2,y+1/2,z'
'-x+1/2,-y+1/2,-z'
'-x+1/2,y+1/2,-z+1/2'
'x+1/2,-y+1/2,z+1/2'
loop_
_atom_site_label
_atom_site_type_symbol
_atom_site_fract_x
_atom_site_fract_y
_atom_site_fract_z
_atom_site_occupancy
K1 K 0.0000 0.0944 0.2500 1
Dy1 Dy 0.0000 0.3404 0.7500 1
P1 P 0.1239 0.3704 0.1886 1
O1 O 0.0699 0.3388 0.0135 1
O2 O 0.1856 0.4994 0.7148 1
O3 O 0.2367 0.2183 0.7327 1
# Magnetic moment = 0.000 μB/f.u.
# V = 712 Å³ per cell
# E_form (uncorrected) = -2.58 eV/atom

=====

# 5
# PaMnCrGa PBE relaxed
data_PaMnCrGa
_chemical_formula_sum 'Pa4 Mn4 Cr4 Ga4'
_cell_length_a 6.3025
_cell_length_b 6.3025
_cell_length_c 6.3025
_cell_angle_alpha 90.00
_cell_angle_beta 90.00
_cell_angle_gamma 90.00
_symmetry_space_group_name_H-M 'F -4 3 m'
_symmetry_Int_Tables_number 216
_symmetry_space_group_name_Hall 'F -4 2 3'
loop_
_atom_site_label
_atom_site_type_symbol
_atom_site_fract_x
_atom_site_fract_y
_atom_site_fract_z
_atom_site_occupancy
Pa1 Pa 0.0000 0.0000 0.0000 1
Mn1 Mn 0.2500 0.2500 0.7500 1
Cr1 Cr 0.2500 0.2500 0.2500 1
Ga1 Ga 0.0000 0.0000 0.5000 1
# Magnetic moment = 2.457 μB/f.u.
# V = 250 Å³ per cell
# Formation enthalpy at 0 K = -38 meV/atom

=====

# 6
# BaSrAs2Br PBE relaxed
data_BaSrAs2Br
_chemical_formula_sum 'Ba1 Sr1 As2 Br1'
_cell_length_a 5.6568
_cell_length_b 5.6568
_cell_length_c 5.8592
_cell_angle_alpha 90.00
_cell_angle_beta 90.00
_cell_angle_gamma 90.00
_symmetry_space_group_name_H-M 'P 4/m m m'
_symmetry_Int_Tables_number 123
_symmetry_space_group_name_Hall '-P 4 2'
loop_
_atom_site_label
_atom_site_type_symbol
_atom_site_fract_x
_atom_site_fract_y
_atom_site_fract_z
_atom_site_occupancy
Ba1 Ba 0.0000 0.0000 0.0000 1
Sr1 Sr 0.5000 0.5000 0.5000 1
As1 As 0.0000 0.5000 0.5000 1
Br1 Br 0.5000 0.5000 0.0000 1
# Magnetic moment = 0.270 μB/f.u.
# V = 187 Å³ per cell
# Relative energy among the computed polymorphs = 0 meV/atom
# E_form (uncorrected) = -0.59 eV/atom

=====

# 7
# La8CoGe3Cl4 PBE relaxed
data_La8CoGe3Cl4
_chemical_formula_sum 'La16 Co2 Ge6 Cl8'
_cell_length_a 14.8598
_cell_length_b 8.6408
_cell_length_c 8.5960
_cell_angle_alpha 90.00
_cell_angle_beta 124.17
_cell_angle_gamma 90.00
_symmetry_space_group_name_H-M 'C 1 2/m 1'
_symmetry_Int_Tables_number 12
loop_
_symmetry_equiv_pos_as_xyz
'x,y,z'
'-x,-y,-z'
'-x,y,-z'
'x,-y,z'
'x+1/2,y+1/2,z'
'-x+1/2,-y+1/2,-z'
'-x+1/2,y+1/2,-z'
'x+1/2,-y+1/2,z'
loop_
_atom_site_label
_atom_site_type_symbol
_atom_site_fract_x
_atom_site_fract_y
_atom_site_fract_z
_atom_site_occupancy
La1 La 0.0051 0.2291 0.2252 1
La2 La 0.2459 0.5000 0.2528 1
La3 La 0.2470 0.0000 0.2563 1
Co1 Co 0.0000 0.0000 0.0000 1
Ge1 Ge 0.0000 0.5000 0.0000 1
Ge2 Ge 0.2500 0.2500 0.5000 1
Cl1 Cl 0.0000 0.0000 0.5000 1
Cl2 Cl 0.0000 0.5000 0.5000 1
Cl3 Cl 0.2500 0.2500 0.0000 1
# Magnetic moment = 0.005 μB/f.u.
# V = 913 Å³ per cell
# E_form (uncorrected) = -1.21 eV/atom

=====

# 8
# TlTeSN2 PBE relaxed
data_TlTeSN2
_chemical_formula_sum 'Tl1 Te1 S1 N2'
_cell_length_a 4.1036
_cell_length_b 4.1036
_cell_length_c 5.4770
_cell_angle_alpha 90.00
_cell_angle_beta 90.00
_cell_angle_gamma 90.00
_symmetry_space_group_name_H-M 'P 4/m m m'
_symmetry_Int_Tables_number 123
_symmetry_space_group_name_Hall '-P 4 2'
loop_
_atom_site_label
_atom_site_type_symbol
_atom_site_fract_x
_atom_site_fract_y
_atom_site_fract_z
_atom_site_occupancy
Tl1 Tl 0.0000 0.0000 0.0000 1
Te1 Te 0.5000 0.5000 0.0000 1
S1 S 0.5000 0.5000 0.5000 1
N1 N 0.0000 0.5000 0.5000 1
# Magnetic moment = 2.355 μB/f.u.
# V = 92 Å³ per cell
# Relative energy among the computed polymorphs = 521 meV/atom
# E_form (uncorrected) = 1.67 eV/atom

=====

# 9
# Rb2SrNpTe4 PBE relaxed
data_Rb2SrNpTe4
_chemical_formula_sum 'Rb2 Sr1 Np1 Te4'
_cell_length_a 8.1763
_cell_length_b 4.7069
_cell_length_c 8.9097
_cell_angle_alpha 90.00
_cell_angle_beta 107.51
_cell_angle_gamma 90.00
_symmetry_space_group_name_H-M 'P 1 2/m 1'
_symmetry_Int_Tables_number 10
loop_
_symmetry_equiv_pos_as_xyz
'x,y,z'
'-x,-y,-z'
'-x,y,-z'
'x,-y,z'
loop_
_atom_site_label
_atom_site_type_symbol
_atom_site_fract_x
_atom_site_fract_y
_atom_site_fract_z
_atom_site_occupancy
Rb1 Rb 0.0000 0.0000 0.0000 1
Rb2 Rb 0.5000 0.5000 0.0000 1
Sr1 Sr 0.0000 0.5000 0.5000 1
Np1 Np 0.5000 0.0000 0.5000 1
Te1 Te 0.2596 0.0000 0.7049 1
Te2 Te 0.2873 0.5000 0.3020 1
# Magnetic moment = 3.000 μB/f.u.
# V = 327 Å³ per cell
# E_form (uncorrected) = -1.10 eV/atom

=====

# 10
# TbTe2O8 PBE relaxed
data_TbTe2O8
_chemical_formula_sum 'Tb2 Te4 O16'
_cell_length_a 9.5180
_cell_length_b 6.2431
_cell_length_c 5.3750
_cell_angle_alpha 90.00
_cell_angle_beta 100.83
_cell_angle_gamma 90.00
_symmetry_space_group_name_H-M 'C 1 2/m 1'
_symmetry_Int_Tables_number 12
loop_
_symmetry_equiv_pos_as_xyz
'x,y,z'
'-x,-y,-z'
'-x,y,-z'
'x,-y,z'
'x+1/2,y+1/2,z'
'-x+1/2,-y+1/2,-z'
'-x+1/2,y+1/2,-z'
'x+1/2,-y+1/2,z'
loop_
_atom_site_label
_atom_site_type_symbol
_atom_site_fract_x
_atom_site_fract_y
_atom_site_fract_z
_atom_site_occupancy
Tb1 Tb 0.0000 0.0000 0.0000 1
Te1 Te 0.2237 0.5000 0.4617 1
O1 O 0.0869 0.5000 0.6757 1
O2 O 0.1432 0.2048 0.3228 1
O3 O 0.1820 0.0000 0.8083 1
# Magnetic moment = 1.047 μB/f.u.
# V = 314 Å³ per cell
# Relative energy among the computed polymorphs = 0 meV/atom
# E_form (uncorrected) = -1.24 eV/atom

=====

# 11
# BaAl2O4 PBE relaxed
data_BaAl2O4
_chemical_formula_sum 'Ba4 Al8 O16'
_cell_length_a 9.1226
_cell_length_b 5.2671
_cell_length_c 8.9782
_cell_angle_alpha 90.00
_cell_angle_beta 90.19
_cell_angle_gamma 90.00
_symmetry_space_group_name_H-M 'C 1 2 1'
_symmetry_Int_Tables_number 5
loop_
_symmetry_equiv_pos_as_xyz
'x,y,z'
'-x,y,-z'
'x+1/2,y+1/2,z'
'-x+1/2,y+1/2,-z'
loop_
_atom_site_label
_atom_site_type_symbol
_atom_site_fract_x
_atom_site_fract_y
_atom_site_fract_z
_atom_site_occupancy
Ba1 Ba 0.9999 0.0000 0.2500 1
Al1 Al 0.1667 0.4984 0.4459 1
Al2 Al 0.1666 0.4986 0.0541 1
O1 O 0.0000 0.3553 0.5000 1
O2 O 0.0000 0.6441 0.0000 1
O3 O 0.1667 0.4916 0.2500 1
O4 O 0.1778 0.1781 0.9970 1
O5 O 0.1779 0.8219 0.4973 1
# Magnetic moment = 0.000 μB/f.u.
# V = 431 Å³ per cell
# Relative energy among the computed polymorphs = 4 meV/atom
# E_form (uncorrected) = -3.05 eV/atom

=====

# 12
# CaCr3Se PBE relaxed
data_CaCr3Se
_chemical_formula_sum 'Ca1 Cr3 Se1'
_cell_length_a 4.6299
_cell_length_b 4.6299
_cell_length_c 4.6299
_cell_angle_alpha 90.00
_cell_angle_beta 90.00
_cell_angle_gamma 90.00
_symmetry_space_group_name_H-M 'P m -3 m'
_symmetry_Int_Tables_number 221
_symmetry_space_group_name_Hall '-P 4 2 3'
loop_
_atom_site_label
_atom_site_type_symbol
_atom_site_fract_x
_atom_site_fract_y
_atom_site_fract_z
_atom_site_occupancy
Ca1 Ca 0.0000 0.0000 0.0000 1
Cr1 Cr 0.0000 0.5000 0.5000 1
Se1 Se 0.5000 0.5000 0.5000 1
# Magnetic moment = 7.591 μB/f.u.
# V = 99 Å³ per cell
# Relative energy among the computed polymorphs = 0 meV/atom
# E_form (uncorrected) = 0.66 eV/atom

=====

# 13
# CuRe2Te PBE relaxed
data_CuRe2Te
_chemical_formula_sum 'Cu2 Re4 Te2'
_cell_length_a 3.3551
_cell_length_b 4.3586
_cell_length_c 8.6598
_cell_angle_alpha 90.00
_cell_angle_beta 90.00
_cell_angle_gamma 90.00
_symmetry_space_group_name_H-M 'I m m 2'
_symmetry_Int_Tables_number 44
loop_
_symmetry_equiv_pos_as_xyz
'x,y,z'
'-x,-y,z'
'-x,y,z'
'x,-y,z'
'x+1/2,y+1/2,z+1/2'
'-x+1/2,-y+1/2,z+1/2'
'-x+1/2,y+1/2,z+1/2'
'x+1/2,-y+1/2,z+1/2'
loop_
_atom_site_label
_atom_site_type_symbol
_atom_site_fract_x
_atom_site_fract_y
_atom_site_fract_z
_atom_site_occupancy
Cu1 Cu 0.0000 0.0000 0.0000 1
Re1 Re 0.0000 0.0000 0.5091 1
Re2 Re 0.0000 0.5000 0.7464 1
Te1 Te 0.0000 0.5000 0.2570 1
# Magnetic moment = 0.000 μB/f.u.
# V = 127 Å³ per cell
# E_form (uncorrected) = 0.80 eV/atom

=====

# 14
# La2HfScPt PBE relaxed
data_La2HfScPt
_chemical_formula_sum 'La2 Hf1 Sc1 Pt1'
_cell_length_a 5.5926
_cell_length_b 5.5926
_cell_length_c 5.0240
_cell_angle_alpha 90.00
_cell_angle_beta 90.00
_cell_angle_gamma 90.00
_symmetry_space_group_name_H-M 'P 4/m m m'
_symmetry_Int_Tables_number 123
_symmetry_space_group_name_Hall '-P 4 2'
loop_
_atom_site_label
_atom_site_type_symbol
_atom_site_fract_x
_atom_site_fract_y
_atom_site_fract_z
_atom_site_occupancy
La1 La 0.0000 0.5000 0.0000 1
Hf1 Hf 0.0000 0.0000 0.0000 1
Sc1 Sc 0.0000 0.0000 0.5000 1
Pt1 Pt 0.5000 0.5000 0.5000 1
# Magnetic moment = 0.000 μB/f.u.
# V = 157 Å³ per cell
# Formation enthalpy at 0 K = 688 meV/atom

=====

# 15
# CdIn2Rh PBE relaxed
data_CdIn2Rh
_chemical_formula_sum 'Cd2 In4 Rh2'
_cell_length_a 4.2093
_cell_length_b 4.2093
_cell_length_c 8.8126
_cell_angle_alpha 90.00
_cell_angle_beta 90.00
_cell_angle_gamma 90.00
_symmetry_space_group_name_H-M 'I -4 m 2'
_symmetry_Int_Tables_number 119
_symmetry_space_group_name_Hall 'I -4 -2'
loop_
_atom_site_label
_atom_site_type_symbol
_atom_site_fract_x
_atom_site_fract_y
_atom_site_fract_z
_atom_site_occupancy
Cd1 Cd 0.0000 0.0000 0.0000 1
In1 In 0.0000 0.0000 0.5000 1
In2 In 0.0000 0.5000 0.7500 1
Rh1 Rh 0.0000 0.5000 0.2500 1
# Magnetic moment = 0.000 μB/f.u.
# V = 156 Å³ per cell
# Formation enthalpy at 0 K = -76 meV/atom

=====

# 16
# Pm4Tl3Ag PBE relaxed
data_Pm4Tl3Ag
_chemical_formula_sum 'Pm4 Tl3 Ag1'
_cell_length_a 3.9053
_cell_length_b 4.9643
_cell_length_c 12.1323
_cell_angle_alpha 90.00
_cell_angle_beta 90.00
_cell_angle_gamma 90.00
_symmetry_space_group_name_H-M 'P m m 2'
_symmetry_Int_Tables_number 25
loop_
_symmetry_equiv_pos_as_xyz
'x,y,z'
'-x,-y,z'
'-x,y,z'
'x,-y,z'
loop_
_atom_site_label
_atom_site_type_symbol
_atom_site_fract_x
_atom_site_fract_y
_atom_site_fract_z
_atom_site_occupancy
Pm1 Pm 0.0000 0.0000 0.0000 1
Pm2 Pm 0.0000 0.5000 0.2834 1
Pm3 Pm 0.5000 0.0000 0.4805 1
Pm4 Pm 0.5000 0.5000 0.7887 1
Tl1 Tl 0.0000 0.0000 0.7248 1
Tl2 Tl 0.0000 0.5000 0.5526 1
Tl3 Tl 0.5000 0.5000 0.0583 1
Ag1 Ag 0.5000 0.0000 0.2171 1
# Magnetic moment = 0.000 μB/f.u.
# V = 235 Å³ per cell
# Formation enthalpy at 0 K = -305 meV/atom
# Relative energy among the computed polymorphs = 52 meV/atom

=====

# 17
# VTcMo2Os PBE relaxed
data_VTcMo2Os
_chemical_formula_sum 'V1 Tc1 Mo2 Os1'
_cell_length_a 4.6927
_cell_length_b 4.6927
_cell_length_c 4.6322
_cell_angle_alpha 90.00
_cell_angle_beta 90.00
_cell_angle_gamma 90.00
_symmetry_space_group_name_H-M 'P 4/m m m'
_symmetry_Int_Tables_number 123
_symmetry_space_group_name_Hall '-P 4 2'
loop_
_atom_site_label
_atom_site_type_symbol
_atom_site_fract_x
_atom_site_fract_y
_atom_site_fract_z
_atom_site_occupancy
V1 V 0.0000 0.0000 0.0000 1
Tc1 Tc 0.5000 0.5000 0.0000 1
Mo1 Mo 0.0000 0.5000 0.5000 1
Os1 Os 0.5000 0.5000 0.5000 1
# Magnetic moment = 0.000 μB/f.u.
# V = 102 Å³ per cell
# Formation enthalpy at 0 K = 1810 meV/atom

=====

# 18
# Th4NiPt PBE relaxed
data_Th4NiPt
_chemical_formula_sum 'Th8 Ni2 Pt2'
_cell_length_a 7.2094
_cell_length_b 7.2094
_cell_length_c 5.9627
_cell_angle_alpha 90.00
_cell_angle_beta 90.00
_cell_angle_gamma 90.00
_symmetry_space_group_name_H-M 'P 4/m c c'
_symmetry_Int_Tables_number 124
_symmetry_space_group_name_Hall '-P 4 2c'
loop_
_atom_site_label
_atom_site_type_symbol
_atom_site_fract_x
_atom_site_fract_y
_atom_site_fract_z
_atom_site_occupancy
Th1 Th 0.1608 0.3287 0.0000 1
Ni1 Ni 0.0000 0.0000 0.2500 1
Pt1 Pt 0.5000 0.5000 0.2500 1
# Magnetic moment = 0.000 μB/f.u.
# V = 310 Å³ per cell
# Formation enthalpy at 0 K = -508 meV/atom

=====

# 19
# CaReW2 PBE relaxed
data_CaReW2
_chemical_formula_sum 'Ca1 Re1 W2'
_cell_length_a 3.0752
_cell_length_b 4.7277
_cell_length_c 4.7752
_cell_angle_alpha 90.00
_cell_angle_beta 90.00
_cell_angle_gamma 90.00
_symmetry_space_group_name_H-M 'P m m m'
_symmetry_Int_Tables_number 47
loop_
_symmetry_equiv_pos_as_xyz
'x,y,z'
'-x,-y,-z'
'-x,-y,z'
'x,y,-z'
'x,-y,-z'
'-x,y,z'
'-x,y,-z'
'x,-y,z'
loop_
_atom_site_label
_atom_site_type_symbol
_atom_site_fract_x
_atom_site_fract_y
_atom_site_fract_z
_atom_site_occupancy
Ca1 Ca 0.0000 0.0000 0.0000 1
Re1 Re 0.5000 0.5000 0.0000 1
W1 W 0.0000 0.5000 0.5000 1
W2 W 0.5000 0.0000 0.5000 1
# Magnetic moment = 0.000 μB/f.u.
# V = 69 Å³ per cell
# Formation enthalpy at 0 K = 871 meV/atom
# Relative energy among the computed polymorphs = 366 meV/atom

=====

# 20
# Ca2ReRh PBE relaxed
data_Ca2ReRh
_chemical_formula_sum 'Ca4 Re2 Rh2'
_cell_length_a 3.0170
_cell_length_b 5.1566
_cell_length_c 10.9035
_cell_angle_alpha 90.00
_cell_angle_beta 90.00
_cell_angle_gamma 90.00
_symmetry_space_group_name_H-M 'I m m 2'
_symmetry_Int_Tables_number 44
loop_
_symmetry_equiv_pos_as_xyz
'x,y,z'
'-x,-y,z'
'-x,y,z'
'x,-y,z'
'x+1/2,y+1/2,z+1/2'
'-x+1/2,-y+1/2,z+1/2'
'-x+1/2,y+1/2,z+1/2'
'x+1/2,-y+1/2,z+1/2'
loop_
_atom_site_label
_atom_site_type_symbol
_atom_site_fract_x
_atom_site_fract_y
_atom_site_fract_z
_atom_site_occupancy
Ca1 Ca 0.0000 0.0000 0.0000 1
Ca2 Ca 0.0000 0.5000 0.2019 1
Re1 Re 0.0000 0.5000 0.7699 1
Rh1 Rh 0.0000 0.0000 0.4608 1
# Magnetic moment = 0.000 μB/f.u.
# V = 170 Å³ per cell
# Formation enthalpy at 0 K = 306 meV/atom